The following is a PBE with a Hubbard U calculation of a relaxed structure of SrLaNiO4, from Alexandria.

Results
Raw total energy ... -6.481 eV per atom
N(E_F) ... 1.9 states/eV per cell
SG ... Cmcm, No. 63
Total moment ... 1.00 μB/f.u.
Theoretical density ... 6.2 g/cm³
Offset from the most stable computed form ... 5.7 meV per atom

Lattice parameters (Å, degrees): 6.8411 6.8411 5.4552 90.00 90.00 133.16
Last column: nearest neighbours and their distance in Å.
Fractional positions:
Sr 0.1068 0.8932 0.7500  7 O 2.45-2.74
Sr 0.8932 0.1068 0.2500  7 O 2.45-2.74
La 0.3867 0.6133 0.7500  5 O 2.38-2.58
La 0.6133 0.3867 0.2500  5 O 2.38-2.58
Ni 0.2495 0.7505 0.2500  5 O 1.93-2.02
Ni 0.7505 0.2495 0.7500  5 O 1.93-2.02
O 0.0000 0.5000 0.0000  2 Ni 1.93
O 0.0000 0.5000 0.5000  2 Ni 1.93
O 0.0883 0.9117 0.2500  1 Ni 2.02
O 0.4237 0.5763 0.2500  1 Ni 2.19, 1 La 2.38
O 0.5000 0.0000 0.0000  2 Ni 1.93
O 0.5000 0.0000 0.5000  2 Ni 1.93
O 0.5763 0.4237 0.7500  1 Ni 2.19, 1 La 2.38
O 0.9117 0.0883 0.7500  1 Ni 2.02